# 1
The following is a DFT calculation (PBE) of a geometry-optimized La3Ag4 structure.

Lattice parameters (Å, degrees): 12.711 12.711 12.711 162.51 162.51 24.84
Last column: magnetic moment on the atom in μB.
Fractional positions:
Ag (0.429, 0.429, 0.000)  0.00
La (0.699, 0.699, 0.000)  0.12
La (0.301, 0.301, 0.000)  0.12
La (0.000, 0.000, 0.000)  -0.01
Ag (0.129, 0.129, 0.000)  0.00
Ag (0.571, 0.571, 0.000)  0.00
Ag (0.871, 0.871, 0.000)  0.00

Calculated values
E: -27.433 eV/f.u.
space-group type: I4/mmm (139)
total magnetic moment: 0.50 μB/f.u.
DFT formation energy: -1.25 eV per formula unit
crystal system: tetragonal

---

# 2
The following is a DFT calculation (PBE) of a geometry-optimized La7Ag6 structure.

Lattice parameters (Å, degrees): 10.183 10.183 10.183 39.57 39.57 39.57
Fractional positions:
Ag (0.665, 0.665, 0.665)
La (0.928, 0.405, 0.405)
Ag (0.952, 0.952, 0.952)
Ag (0.335, 0.335, 0.335)
La (0.595, 0.072, 0.595)
Ag (0.146, 0.146, 0.146)
La (0.500, 0.500, 0.500)
La (0.405, 0.928, 0.405)
La (0.595, 0.595, 0.072)
La (0.072, 0.595, 0.595)
La (0.405, 0.405, 0.928)
Ag (0.854, 0.854, 0.854)
Ag (0.048, 0.048, 0.048)

Calculated values
E: -49.190 eV/f.u.
space-group type: R-3m (166)
total magnetic moment: 0.00 μB/f.u.
DFT formation energy: 2.41 eV per formula unit
crystal system: trigonal

---

# 3
The following is a DFT calculation (PBE) of a geometry-optimized LaAg3 structure.

Lattice parameters (Å, degrees): 5.198 5.198 3.415 90.00 90.00 89.95
Fractional positions:
La (0.500, 0.500, 0.000)
Ag (0.000, 0.000, 0.000)
Ag (0.500, 0.000, 0.500)
Ag (0.000, 0.500, 0.500)

Calculated values
E: -13.425 eV/f.u.
space-group type: P4/mmm (123)
total magnetic moment: 0.00 μB/f.u.
DFT formation energy: 0.06 eV per formula unit
crystal system: tetragonal

---

# 4
The following is a DFT calculation (PBE) of a geometry-optimized LaAg structure.

Lattice parameters (Å, degrees): 4.138 4.138 4.192 90.00 90.00 120.00
Fractional positions:
La (0.333, 0.667, 0.500)
Ag (0.000, 0.000, 0.000)

Calculated values
E: -7.977 eV/f.u.
space-group type: P-6m2 (187)
total magnetic moment: 0.00 μB/f.u.
DFT formation energy: -0.20 eV per formula unit
crystal system: hexagonal

---

# 5
The following is a DFT calculation (PBE) of a geometry-optimized LaAg structure.

Lattice parameters (Å, degrees): 6.412 6.412 6.412 144.49 134.23 59.23
Fractional positions:
La (0.145, 0.895, 0.750)
Ag (0.405, 0.655, 0.250)
La (0.855, 0.105, 0.250)
Ag (0.595, 0.345, 0.750)

Calculated values
E: -8.111 eV/f.u.
space-group type: Imma (74)
total magnetic moment: 0.00 μB/f.u.
DFT formation energy: -0.33 eV per formula unit
crystal system: orthorhombic

---

# 6
The following is a DFT calculation (PBE) of a geometry-optimized LaAg5 structure.

Lattice parameters (Å, degrees): 8.538 8.538 4.741 90.00 90.00 158.15
Fractional positions:
Ag (0.669, 0.331, 0.000)
Ag (0.309, 0.691, 0.000)
La (0.891, 0.109, 0.500)
Ag (0.026, 0.974, 0.000)
Ag (0.209, 0.791, 0.500)
Ag (0.563, 0.437, 0.500)

Calculated values
E: -19.258 eV/f.u.
space-group type: Amm2 (38)
total magnetic moment: 0.00 μB/f.u.
DFT formation energy: -0.07 eV per formula unit
crystal system: orthorhombic

---

# 7
The following is a DFT calculation (PBE) of a geometry-optimized LaAg5 structure.

Lattice parameters (Å, degrees): 3.556 3.556 10.027 90.00 90.00 90.00
Fractional positions:
Ag (0.500, 0.500, 0.852)
Ag (0.000, 0.000, 0.709)
Ag (0.000, 0.000, 0.291)
Ag (0.500, 0.500, 0.148)
Ag (0.000, 0.000, 0.000)
La (0.500, 0.500, 0.500)

Calculated values
E: -19.493 eV/f.u.
space-group type: P4/mmm (123)
total magnetic moment: 0.00 μB/f.u.
DFT formation energy: -0.31 eV per formula unit
crystal system: tetragonal

---

# 8
The following is a DFT calculation (PBE) of a geometry-optimized LaAg3 structure.

Lattice parameters (Å, degrees): 4.578 4.578 4.578 90.00 90.00 90.00
Fractional positions:
Ag (0.000, 0.000, 0.000)
Ag (0.000, 0.500, 0.500)
La (0.500, 0.500, 0.000)
Ag (0.500, 0.000, 0.500)

Calculated values
E: -13.491 eV/f.u.
space-group type: Pm-3m (221)
total magnetic moment: 0.00 μB/f.u.
DFT formation energy: -0.01 eV per formula unit
crystal system: cubic